--- one ---
# AlCr3Re

A geometry-optimized AlCr3Re structure (PBE, the Alexandria database).

Lattice parameters (Å, degrees): 4.244 4.244 4.244 90.00 90.00 90.00
Fractional coordinates of all 5 atoms:
Cr 0.500 0.000 0.000
Cr 0.000 0.500 0.000
Re 0.500 0.500 0.500
Al 0.000 0.000 0.000
Cr 0.000 0.000 0.500

Output
Space-group type   Pm-3m, No. 221
Magnetic moment   3.3 μB per formula unit

---

--- two ---
# AlCr3Re

A geometry-optimized AlCr3Re structure (PBE, the Alexandria database).

Lattice parameters (Å, degrees): 4.639 4.639 4.639 90.00 90.00 90.00
Fractional coordinates of all 5 atoms:
Cr 0.000 0.500 0.000
Cr 0.000 0.000 0.500
Cr 0.500 0.000 0.000
Re 0.000 0.000 0.000
Al 0.500 0.500 0.500

Output
Space-group type   Pm-3m, No. 221
Magnetic moment   7.7 μB per formula unit

---

Which one is most stable, and which one is least stable? two is the most stable of them, while one is the least stable.